Density functional theory data (GGA-PBE) for crystalline K2Pb2F5 at its relaxed geometry.

Output
crystal system: orthorhombic
energy relative to the elements, uncorrected: -2.30 eV per atom

abc: 10.466 10.466 10.466
angles: 51.76 143.89 144.20
Element x y z (fractional)
K (0.064, 0.139, 0.203)
K (0.064, 0.361, 0.425)
K (0.936, 0.639, 0.575)
K (0.936, 0.861, 0.797)
Pb (0.443, 0.815, 0.128)
Pb (0.533, 0.033, 0.500)
Pb (0.533, 0.533, 0.000)
Pb (0.687, 0.315, 0.872)
F (0.041, 0.218, 0.724)
F (0.041, 0.816, 0.323)
F (0.459, 0.723, 0.976)
F (0.459, 0.984, 0.236)
F (0.463, 0.432, 0.531)
F (0.494, 0.316, 0.276)
F (0.494, 0.718, 0.677)
F (0.747, 0.223, 0.764)
F (0.747, 0.484, 0.024)
F (0.901, 0.932, 0.469)